The following is a PBE calculation of a relaxed CuTe2Cl crystal, from Alexandria via LeMat-Bulk.

Cell and atoms, written as POSCAR:
```
CuTe2Cl
1.0
2.054 -3.110 0.000
2.054 3.110 0.000
0.000 0.000 7.851
Cu Te Cl
1 2 1
Direct
0.000 0.000 0.000
0.500 0.500 0.196
0.500 0.500 0.804
0.000 0.000 0.500
```

Values from the calculation:
Uncorrected formation energy, eV/atom: 0.013
Space-group type: No. 65

The following is a PBE calculation of a relaxed CuTeCl2 crystal, from Alexandria via LeMat-Bulk.

Cell and atoms, written as POSCAR:
```
CuTeCl2
1.0
7.571 0.000 0.000
0.000 10.051 0.000
0.000 0.000 5.978
Cu Te Cl
4 4 8
Direct
0.135 0.055 0.000
0.365 0.555 0.500
0.635 0.445 0.000
0.865 0.945 0.500
0.051 0.509 0.579
0.449 0.009 0.079
0.551 0.991 0.579
0.949 0.491 0.079
0.058 0.096 0.634
0.128 0.286 0.114
0.372 0.786 0.614
0.442 0.596 0.134
0.558 0.404 0.634
0.628 0.214 0.114
0.872 0.714 0.614
0.942 0.904 0.134
```

Values from the calculation:
Uncorrected formation energy, eV/atom: -0.324
Space-group type: No. 33
E above lowest polymorph, kJ/mol of formula units: 0

The following is a PBE calculation of a relaxed CuTe2Cl crystal, from Alexandria via LeMat-Bulk.

Cell and atoms, written as POSCAR:
```
CuTe2Cl
1.0
3.036 -4.045 0.000
3.036 4.045 0.000
-3.025 0.000 4.046
Cu Te Cl
1 2 1
Direct
0.000 0.000 0.000
0.000 0.500 0.500
0.500 0.000 0.500
0.500 0.500 0.000
```

Values from the calculation:
Uncorrected formation energy, eV/atom: 0.100
Space-group type: No. 12

The highest uncorrected formation energy belongs to which entry? number 3

Which value of uncorrected formation energy does entry 3 give? 0.100 eV/atom

Among the records above, which one has the highest uncorrected formation energy? number 3